# TlZn2W | the Alexandria database | PBE | optimized geometry
# Energy above the most stable polymorph in this dataset in eV/atom: 0.128
# Final energy in eV/atom: -3.913
# Crystal system: monoclinic
# Calculated volume in Å³/atom: 17.99
# Energy of formation from the pure elements in eV per atom: 0.55
data_TlZn2W
_cell_length_a 9.841
_cell_length_b 2.949
_cell_length_c 5.062
_cell_angle_alpha 90.00
_cell_angle_beta 101.63
_cell_angle_gamma 90.00
_space_group_name_H-M_alt 'C 1 2/m 1'
_space_group_IT_number 12
_space_group_name_Hall '-C 2y'
loop_
_atom_site_label
_atom_site_type_symbol
_atom_site_fract_x
_atom_site_fract_y
_atom_site_fract_z
Tl1 Tl 0.000 0.000 0.000
Zn1 Zn 0.235 0.000 0.701
W1 W 0.000 0.500 0.500